Entry from Alexandria: an optimized crystal structure of ZnHgS2 (PBE-GGA).

Lattice parameters (Å, degrees): 7.1620 3.6820 6.6265 90.00 93.24 90.00
Space group C2/m (No. 12)
Inequivalent atoms, fractional coordinates:
Zn 0.0000 0.0000 0.0000 (multiplicity 2)
Hg 0.0000 0.5000 0.5000 (multiplicity 2)
S 0.1596 0.5000 0.1953 (multiplicity 4)

Output
The magnetic moment is 0.000 μB per cell. The calculation puts the formation energy from raw total energies at -0.28 eV/atom. The value obtained for the density of states at the Fermi level is 0.000 states/eV per atom.

Entry from Alexandria: an optimized crystal structure of Be2VPdBr (PBE-GGA).

Lattice parameters (Å, degrees): 4.2965 4.2965 4.8474 90.00 90.00 90.00
Space group P4/mmm (No. 123)
Inequivalent atoms, fractional coordinates:
Be 0.0000 0.5000 0.0000 (multiplicity 2)
V 0.0000 0.0000 0.5000 (multiplicity 1)
Pd 0.5000 0.5000 0.5000 (multiplicity 1)
Br 0.5000 0.5000 0.0000 (multiplicity 1)

Output
The magnetic moment is 3.098 μB per cell. The calculation puts the formation energy from raw total energies at 1.36 eV/atom. The value obtained for the density of states at the Fermi level is 0.846 states/eV per atom. Its relative energy among the computed polymorphs is 0.1252 eV/atom.